# Mn2CdSe PBE-GGA relaxed
# Fermi-level density of states ... 21.30 states/eV/cell
# Magnetic moment ... 1.967 μB/atom
# Formation energy (no corrections) ... 0.52 eV/atom
data_Mn2CdSe
_chemical_formula_sum 'Mn8 Cd4 Se4'
_cell_length_a 6.695
_cell_length_b 6.695
_cell_length_c 6.695
_cell_angle_alpha 90.00
_cell_angle_beta 90.00
_cell_angle_gamma 90.00
_space_group_name_H-M_alt 'F -4 3 m'
_space_group_IT_number 216
_space_group_name_Hall 'F -4 2 3'
loop_
_atom_site_label
_atom_site_type_symbol
_atom_site_fract_x
_atom_site_fract_y
_atom_site_fract_z
Mn1 Mn 0.000 0.000 0.000
Mn2 Mn 0.250 0.250 0.250
Cd1 Cd 0.000 0.000 0.500
Se1 Se 0.250 0.250 0.750

# MnCdSe2 PBE-GGA relaxed
# Fermi-level density of states ... 2.96 states/eV/cell
# Magnetic moment ... 1.227 μB/atom
# Formation energy (no corrections) ... -0.09 eV/atom
data_MnCdSe2
_chemical_formula_sum 'Mn3 Cd3 Se6'
_cell_length_a 4.2572
_cell_length_b 4.2572
_cell_length_c 22.7381
_cell_angle_alpha 90.00
_cell_angle_beta 90.00
_cell_angle_gamma 120.00
_space_group_name_H-M_alt 'R -3 m'
_space_group_IT_number 166
_space_group_name_Hall '-R 3 2"'
loop_
_atom_site_label
_atom_site_type_symbol
_atom_site_fract_x
_atom_site_fract_y
_atom_site_fract_z
Mn1 Mn 0.0000 0.0000 0.0000
Cd1 Cd 0.0000 0.0000 0.5000
Se1 Se 0.0000 0.0000 0.1033

# Mn2CdSe PBE-GGA relaxed
# Fermi-level density of states ... 5.83 states/eV/cell
# Magnetic moment ... 1.927 μB/atom
# Formation energy (no corrections) ... 0.26 eV/atom
data_Mn2CdSe
_chemical_formula_sum 'Mn4 Cd2 Se2'
_cell_length_a 4.181
_cell_length_b 4.181
_cell_length_c 8.129
_cell_angle_alpha 90.00
_cell_angle_beta 90.00
_cell_angle_gamma 90.00
_space_group_name_H-M_alt 'I 4/m m m'
_space_group_IT_number 139
_space_group_name_Hall '-I 4 2'
loop_
_atom_site_label
_atom_site_type_symbol
_atom_site_fract_x
_atom_site_fract_y
_atom_site_fract_z
Mn1 Mn 0.000 0.500 0.250
Cd1 Cd 0.000 0.000 0.000
Se1 Se 0.000 0.000 0.500

# MnCdSe2 PBE-GGA relaxed
# Fermi-level density of states ... 2.86 states/eV/cell
# Magnetic moment ... 0.981 μB/atom
# Formation energy (no corrections) ... -0.02 eV/atom
data_MnCdSe2
_chemical_formula_sum 'Mn1 Cd1 Se2'
_cell_length_a 3.373
_cell_length_b 3.373
_cell_length_c 7.042
_cell_angle_alpha 90.00
_cell_angle_beta 90.00
_cell_angle_gamma 90.00
_space_group_name_H-M_alt 'P 4/m m m'
_space_group_IT_number 123
_space_group_name_Hall '-P 4 2'
loop_
_atom_site_label
_atom_site_type_symbol
_atom_site_fract_x
_atom_site_fract_y
_atom_site_fract_z
Mn1 Mn 0.000 0.000 0.000
Cd1 Cd 0.000 0.000 0.500
Se1 Se 0.500 0.500 0.218

# MnCdSe2 PBE-GGA relaxed
# Fermi-level density of states ... 6.03 states/eV/cell
# Magnetic moment ... 0.668 μB/atom
# Formation energy (no corrections) ... -0.29 eV/atom
data_MnCdSe2
_chemical_formula_sum 'Mn3 Cd3 Se6'
_cell_length_a 3.3981
_cell_length_b 3.3981
_cell_length_c 27.6748
_cell_angle_alpha 90.00
_cell_angle_beta 90.00
_cell_angle_gamma 120.00
_space_group_name_H-M_alt 'R -3 m'
_space_group_IT_number 166
_space_group_name_Hall '-R 3 2"'
loop_
_atom_site_label
_atom_site_type_symbol
_atom_site_fract_x
_atom_site_fract_y
_atom_site_fract_z
Mn1 Mn 0.0000 0.0000 0.0000
Cd1 Cd 0.0000 0.0000 0.5000
Se1 Se 0.0000 0.0000 0.2800

# MnCdSe2 PBE-GGA relaxed
# Fermi-level density of states ... 0.06 states/eV/cell
# Magnetic moment ... 1.250 μB/atom
# Formation energy (no corrections) ... -0.50 eV/atom
data_MnCdSe2
_chemical_formula_sum 'Mn1 Cd1 Se2'
_cell_length_a 4.2911
_cell_length_b 4.2911
_cell_length_c 6.9519
_cell_angle_alpha 90.00
_cell_angle_beta 90.00
_cell_angle_gamma 120.00
_space_group_name_H-M_alt 'P 3 m 1'
_space_group_IT_number 156
loop_
_space_group_symop_operation_xyz
'x,y,z'
'-y,x-y,z'
'-x+y,-x,z'
'-y,-x,z'
'-x+y,y,z'
'x,x-y,z'
loop_
_atom_site_label
_atom_site_type_symbol
_atom_site_fract_x
_atom_site_fract_y
_atom_site_fract_z
Mn1 Mn 0.0000 0.0000 0.0000
Cd1 Cd 0.6667 0.3333 0.5082
Se1 Se 0.0000 0.0000 0.3654
Se2 Se 0.6667 0.3333 0.8940

# Mn2CdSe PBE-GGA relaxed
# Fermi-level density of states ... 4.39 states/eV/cell
# Magnetic moment ... 1.666 μB/atom
# Formation energy (no corrections) ... 0.17 eV/atom
data_Mn2CdSe
_chemical_formula_sum 'Mn4 Cd2 Se2'
_cell_length_a 11.231
_cell_length_b 3.076
_cell_length_c 4.655
_cell_angle_alpha 90.00
_cell_angle_beta 102.83
_cell_angle_gamma 90.00
_space_group_name_H-M_alt 'C 1 m 1'
_space_group_IT_number 8
loop_
_space_group_symop_operation_xyz
'x,y,z'
'x,-y,z'
'x+1/2,y+1/2,z'
'x+1/2,-y+1/2,z'
loop_
_atom_site_label
_atom_site_type_symbol
_atom_site_fract_x
_atom_site_fract_y
_atom_site_fract_z
Mn1 Mn 0.000 0.000 0.000
Mn2 Mn 0.201 0.500 0.105
Cd1 Cd 0.152 0.000 0.586
Se1 Se 0.374 0.000 0.257

# MnCdSe2 PBE-GGA relaxed
# Fermi-level density of states ... 1.94 states/eV/cell
# Magnetic moment ... 0.501 μB/atom
# Formation energy (no corrections) ... 0.05 eV/atom
data_MnCdSe2
_chemical_formula_sum 'Mn1 Cd1 Se2'
_cell_length_a 3.058
_cell_length_b 3.058
_cell_length_c 8.665
_cell_angle_alpha 90.00
_cell_angle_beta 90.00
_cell_angle_gamma 90.00
_space_group_name_H-M_alt 'P 4 m m'
_space_group_IT_number 99
loop_
_space_group_symop_operation_xyz
'x,y,z'
'-y,x,z'
'-x,-y,z'
'y,-x,z'
'-x,y,z'
'y,x,z'
'x,-y,z'
'-y,-x,z'
loop_
_atom_site_label
_atom_site_type_symbol
_atom_site_fract_x
_atom_site_fract_y
_atom_site_fract_z
Mn1 Mn 0.000 0.000 0.000
Cd1 Cd 0.500 0.500 0.765
Se1 Se 0.000 0.000 0.514
Se2 Se 0.500 0.500 0.139

# Mn2CdSe2 PBE-GGA relaxed
# Fermi-level density of states ... 9.60 states/eV/cell
# Magnetic moment ... 0.000 μB/atom
# Formation energy (no corrections) ... 0.09 eV/atom
data_Mn2CdSe2
_chemical_formula_sum 'Mn4 Cd2 Se4'
_cell_length_a 4.128
_cell_length_b 4.128
_cell_length_c 10.333
_cell_angle_alpha 90.00
_cell_angle_beta 90.00
_cell_angle_gamma 90.00
_space_group_name_H-M_alt 'I 4/m m m'
_space_group_IT_number 139
_space_group_name_Hall '-I 4 2'
loop_
_atom_site_label
_atom_site_type_symbol
_atom_site_fract_x
_atom_site_fract_y
_atom_site_fract_z
Mn1 Mn 0.000 0.500 0.250
Cd1 Cd 0.000 0.000 0.000
Se1 Se 0.000 0.000 0.356

# Mn2CdSe PBE-GGA relaxed
# Fermi-level density of states ... 5.27 states/eV/cell
# Magnetic moment ... 1.947 μB/atom
# Formation energy (no corrections) ... 0.24 eV/atom
data_Mn2CdSe
_chemical_formula_sum 'Mn4 Cd2 Se2'
_cell_length_a 3.909
_cell_length_b 3.909
_cell_length_c 9.354
_cell_angle_alpha 90.00
_cell_angle_beta 90.00
_cell_angle_gamma 90.00
_space_group_name_H-M_alt 'I -4 m 2'
_space_group_IT_number 119
_space_group_name_Hall 'I -4 -2'
loop_
_atom_site_label
_atom_site_type_symbol
_atom_site_fract_x
_atom_site_fract_y
_atom_site_fract_z
Mn1 Mn 0.000 0.000 0.000
Mn2 Mn 0.000 0.500 0.250
Cd1 Cd 0.000 0.000 0.500
Se1 Se 0.000 0.500 0.750

# MnCdSe4 PBE-GGA relaxed
# Fermi-level density of states ... 12.83 states/eV/cell
# Magnetic moment ... 0.800 μB/atom
# Formation energy (no corrections) ... 0.56 eV/atom
data_MnCdSe4
_chemical_formula_sum 'Mn4 Cd4 Se16'
_cell_length_a 8.161
_cell_length_b 8.161
_cell_length_c 8.161
_cell_angle_alpha 90.00
_cell_angle_beta 90.00
_cell_angle_gamma 90.00
_space_group_name_H-M_alt 'F -4 3 m'
_space_group_IT_number 216
_space_group_name_Hall 'F -4 2 3'
loop_
_atom_site_label
_atom_site_type_symbol
_atom_site_fract_x
_atom_site_fract_y
_atom_site_fract_z
Mn1 Mn 0.000 0.000 0.000
Cd1 Cd 0.250 0.250 0.250
Se1 Se 0.125 0.125 0.625

# SrMn2CdSe4 PBE-GGA relaxed
# Fermi-level density of states ... 1.27 states/eV/cell
# Magnetic moment ... 1.249 μB/atom
# Formation energy (no corrections) ... -0.69 eV/atom
data_SrMn2CdSe4
_chemical_formula_sum 'Sr4 Mn8 Cd4 Se16'
_cell_length_a 4.045
_cell_length_b 13.726
_cell_length_c 14.377
_cell_angle_alpha 90.00
_cell_angle_beta 90.00
_cell_angle_gamma 90.00
_space_group_name_H-M_alt 'C m c m'
_space_group_IT_number 63
_space_group_name_Hall '-C 2c 2'
loop_
_atom_site_label
_atom_site_type_symbol
_atom_site_fract_x
_atom_site_fract_y
_atom_site_fract_z
Sr1 Sr 0.000 0.147 0.250
Mn1 Mn 0.000 0.376 0.043
Cd1 Cd 0.000 0.132 0.750
Se1 Se 0.000 0.000 0.000
Se2 Se 0.000 0.252 0.605
Se3 Se 0.000 0.483 0.250

# MnVCdSe2 PBE-GGA relaxed
# Fermi-level density of states ... 8.23 states/eV/cell
# Magnetic moment ... 0.856 μB/atom
# Formation energy (no corrections) ... 1.29 eV/atom
data_MnVCdSe2
_chemical_formula_sum 'Mn1 V1 Cd1 Se2'
_cell_length_a 5.219
_cell_length_b 5.219
_cell_length_c 4.910
_cell_angle_alpha 90.00
_cell_angle_beta 90.00
_cell_angle_gamma 90.00
_space_group_name_H-M_alt 'P 4/m m m'
_space_group_IT_number 123
_space_group_name_Hall '-P 4 2'
loop_
_atom_site_label
_atom_site_type_symbol
_atom_site_fract_x
_atom_site_fract_y
_atom_site_fract_z
Mn1 Mn 0.000 0.000 0.000
V1 V 0.500 0.500 0.000
Cd1 Cd 0.000 0.000 0.500
Se1 Se 0.000 0.500 0.500

# MnCd2Si PBE-GGA relaxed
# Fermi-level density of states ... 5.90 states/eV/cell
# Magnetic moment ... 0.737 μB/atom
# Formation energy (no corrections) ... 0.20 eV/atom
data_MnCd2Si
_chemical_formula_sum 'Mn3 Cd6 Si3'
_cell_length_a 2.9799
_cell_length_b 2.9799
_cell_length_c 27.8587
_cell_angle_alpha 90.00
_cell_angle_beta 90.00
_cell_angle_gamma 120.00
_space_group_name_H-M_alt 'R 3 m'
_space_group_IT_number 160
_space_group_name_Hall 'R 3 -2"'
loop_
_atom_site_label
_atom_site_type_symbol
_atom_site_fract_x
_atom_site_fract_y
_atom_site_fract_z
Mn1 Mn 0.0000 0.0000 0.0000
Cd1 Cd 0.0000 0.0000 0.2509
Cd2 Cd 0.0000 0.0000 0.4857
Si1 Si 0.0000 0.0000 0.7298

# MnCd2Si PBE-GGA relaxed
# Fermi-level density of states ... 3.59 states/eV/cell
# Magnetic moment ... 0.918 μB/atom
# Formation energy (no corrections) ... 0.34 eV/atom
data_MnCd2Si
_chemical_formula_sum 'Mn2 Cd4 Si2'
_cell_length_a 5.497
_cell_length_b 8.477
_cell_length_c 3.186
_cell_angle_alpha 90.00
_cell_angle_beta 90.00
_cell_angle_gamma 90.00
_space_group_name_H-M_alt 'C m m m'
_space_group_IT_number 65
_space_group_name_Hall '-C 2 2'
loop_
_atom_site_label
_atom_site_type_symbol
_atom_site_fract_x
_atom_site_fract_y
_atom_site_fract_z
Mn1 Mn 0.000 0.000 0.000
Cd1 Cd 0.250 0.250 0.500
Si1 Si 0.000 0.500 0.000

# MnCd2Si PBE-GGA relaxed
# Fermi-level density of states ... 2.22 states/eV/cell
# Magnetic moment ... 0.636 μB/atom
# Formation energy (no corrections) ... 0.14 eV/atom
data_MnCd2Si
_chemical_formula_sum 'Mn1 Cd2 Si1'
_cell_length_a 2.884
_cell_length_b 3.722
_cell_length_c 6.990
_cell_angle_alpha 90.00
_cell_angle_beta 101.08
_cell_angle_gamma 90.00
_space_group_name_H-M_alt 'P 1 m 1'
_space_group_IT_number 6
loop_
_space_group_symop_operation_xyz
'x,y,z'
'x,-y,z'
loop_
_atom_site_label
_atom_site_type_symbol
_atom_site_fract_x
_atom_site_fract_y
_atom_site_fract_z
Mn1 Mn 0.000 0.000 0.000
Cd1 Cd 0.327 0.500 0.675
Cd2 Cd 0.691 0.000 0.389
Si1 Si 0.533 0.500 0.071

# MnCd2Si PBE-GGA relaxed
# Fermi-level density of states ... 4.89 states/eV/cell
# Magnetic moment ... 0.361 μB/atom
# Formation energy (no corrections) ... 0.05 eV/atom
data_MnCd2Si
_chemical_formula_sum 'Mn2 Cd4 Si2'
_cell_length_a 2.760
_cell_length_b 3.819
_cell_length_c 14.009
_cell_angle_alpha 90.00
_cell_angle_beta 90.00
_cell_angle_gamma 90.00
_space_group_name_H-M_alt 'I m m m'
_space_group_IT_number 71
_space_group_name_Hall '-I 2 2'
loop_
_atom_site_label
_atom_site_type_symbol
_atom_site_fract_x
_atom_site_fract_y
_atom_site_fract_z
Mn1 Mn 0.000 0.000 0.000
Cd1 Cd 0.000 0.500 0.324
Si1 Si 0.000 0.000 0.500

# MnCd2Si PBE-GGA relaxed
# Fermi-level density of states ... 1.87 states/eV/cell
# Magnetic moment ... 0.899 μB/atom
# Formation energy (no corrections) ... 0.29 eV/atom
data_MnCd2Si
_chemical_formula_sum 'Mn1 Cd2 Si1'
_cell_length_a 4.100
_cell_length_b 4.100
_cell_length_c 4.271
_cell_angle_alpha 90.00
_cell_angle_beta 90.00
_cell_angle_gamma 90.00
_space_group_name_H-M_alt 'P 4/m m m'
_space_group_IT_number 123
_space_group_name_Hall '-P 4 2'
loop_
_atom_site_label
_atom_site_type_symbol
_atom_site_fract_x
_atom_site_fract_y
_atom_site_fract_z
Mn1 Mn 0.000 0.000 0.000
Cd1 Cd 0.000 0.500 0.500
Si1 Si 0.500 0.500 0.000

# MnCd2Si PBE-GGA relaxed
# Fermi-level density of states ... 5.09 states/eV/cell
# Magnetic moment ... 0.520 μB/atom
# Formation energy (no corrections) ... 0.21 eV/atom
data_MnCd2Si
_chemical_formula_sum 'Mn2 Cd4 Si2'
_cell_length_a 8.450
_cell_length_b 2.793
_cell_length_c 8.261
_cell_angle_alpha 90.00
_cell_angle_beta 118.84
_cell_angle_gamma 90.00
_space_group_name_H-M_alt 'C 1 m 1'
_space_group_IT_number 8
loop_
_space_group_symop_operation_xyz
'x,y,z'
'x,-y,z'
'x+1/2,y+1/2,z'
'x+1/2,-y+1/2,z'
loop_
_atom_site_label
_atom_site_type_symbol
_atom_site_fract_x
_atom_site_fract_y
_atom_site_fract_z
Mn1 Mn 0.000 0.000 0.000
Cd1 Cd 0.223 0.500 0.317
Cd2 Cd 0.409 0.000 0.679
Si1 Si 0.273 0.000 0.997

# MnCd2Si2 PBE-GGA relaxed
# Fermi-level density of states ... 3.84 states/eV/cell
# Magnetic moment ... 0.569 μB/atom
# Formation energy (no corrections) ... 0.23 eV/atom
data_MnCd2Si2
_chemical_formula_sum 'Mn2 Cd4 Si4'
_cell_length_a 6.296
_cell_length_b 6.296
_cell_length_c 4.586
_cell_angle_alpha 90.00
_cell_angle_beta 90.00
_cell_angle_gamma 90.00
_space_group_name_H-M_alt 'P 4/m b m'
_space_group_IT_number 127
_space_group_name_Hall '-P 4 2ab'
loop_
_atom_site_label
_atom_site_type_symbol
_atom_site_fract_x
_atom_site_fract_y
_atom_site_fract_z
Mn1 Mn 0.000 0.000 0.000
Cd1 Cd 0.196 0.304 0.500
Si1 Si 0.133 0.633 0.000